No. 1
A plane-wave DFT calculation with PBE was carried out for crystalline Al2ReW at its relaxed geometry.

Unit cell a=3.8348 b=3.8348 c=4.1111 alpha=90.00 beta=90.00 gamma=90.00
Atoms (fractional coordinates):
1 Al 0.0000 0.5000 0.0000
2 Al 0.5000 0.0000 0.0000
3 Re 0.0000 0.0000 0.5000
4 W 0.5000 0.5000 0.5000

spin magnetization = 0.0 μB/cell
SG = No. 123
distance to the lowest polymorph of the same formula = 304 meV per atom

No. 2
A plane-wave DFT calculation with PBE was carried out for crystalline ErLuRh4 at its relaxed geometry.

Unit cell a=5.3004 b=5.3004 c=5.3004 alpha=60.00 beta=60.00 gamma=60.00
Atoms (fractional coordinates):
1 Er 0.0000 0.0000 0.0000
2 Lu 0.2500 0.2500 0.2500
3 Rh 0.1252 0.6249 0.6249
4 Rh 0.6249 0.1252 0.6249
5 Rh 0.6249 0.6249 0.1252
6 Rh 0.6249 0.6249 0.6249

spin magnetization = 0.0 μB/cell
SG = No. 216
electronic total energy = -0.2638 Ha/atom

No. 3
A plane-wave DFT calculation with PBE was carried out for crystalline Tb4Pm2DyTm at its relaxed geometry.

Unit cell a=9.5112 b=9.5112 c=6.8135 alpha=110.98 beta=110.98 gamma=88.46
Atoms (fractional coordinates):
1 Tb 0.2445 0.2478 0.4942
2 Tb 0.2450 0.7544 0.9985
3 Tb 0.2456 0.7550 0.5015
4 Tb 0.2478 0.2445 0.9942
5 Tb 0.7522 0.7555 0.0058
6 Tb 0.7544 0.2450 0.4985
7 Tb 0.7550 0.2456 0.0015
8 Tb 0.7555 0.7522 0.5058
9 Pm 0.0000 0.5000 0.0000
10 Pm 0.5000 0.0000 0.5000
11 Pm 0.5000 0.5000 0.0000
12 Pm 0.5000 0.5000 0.5000
13 Dy 0.0000 0.5000 0.5000
14 Dy 0.5000 0.0000 0.0000
15 Tm 0.0000 0.0000 0.0000
16 Tm 0.0000 0.0000 0.5000

spin magnetization = 5.9 μB/cell
SG = No. 15
electronic total energy = -0.1548 Ha/atom

no.,ρ (g/cm³),density of states at the Fermi level (states/eV per atom)
1,11.65,0.5268
2,11.89,0.7160
3,7.82,2.2223